# 1
Here is crystalline CaTmCdPt at its relaxed geometry from Alexandria. Energies are from PBE.

Its total energy is -4.013 eV per atom. The density of states at the Fermi level comes out at 0.70 states/eV per atom. The value obtained for the total magnetization is 0.0 μB per formula unit.

It has space group F-43m (No. 216), with a = 7.158 Å, b = 7.158 Å, c = 7.158 Å, α = 90.00°, β = 90.00° and γ = 90.00°. The asymmetric unit holds Ca at (0.000, 0.000, 0.000), Tm at (0.000, 0.000, 0.500), Cd at (0.250, 0.250, 0.250) and Pt at (0.250, 0.250, 0.750).

***

# 2
Here is crystalline CaYCdPt2 at its relaxed geometry from Alexandria. Energies are from PBE.

Its total energy is -3.767 eV per atom. The density of states at the Fermi level comes out at 0.84 states/eV per atom. The value obtained for the total magnetization is 0.0 μB per formula unit.

It has space group P4/mmm (No. 123), with a = 5.138 Å, b = 5.138 Å, c = 5.945 Å, α = 90.00°, β = 90.00° and γ = 90.00°. The asymmetric unit holds Ca at (0.000, 0.000, 0.000), Y at (0.000, 0.000, 0.500), Cd at (0.500, 0.500, 0.000) and Pt at (0.000, 0.500, 0.500).

***

# 3
Here is crystalline Ca2ZnCdPt at its relaxed geometry from Alexandria. Energies are from PBE.

Its total energy is -2.865 eV per atom. The density of states at the Fermi level comes out at 0.32 states/eV per atom. The value obtained for the total magnetization is 0.0 μB per formula unit.

It has space group P4/mmm (No. 123), with a = 5.506 Å, b = 5.506 Å, c = 4.886 Å, α = 90.00°, β = 90.00° and γ = 90.00°. The asymmetric unit holds Ca at (0.000, 0.500, 0.000), Zn at (0.000, 0.000, 0.500), Cd at (0.500, 0.500, 0.500) and Pt at (0.000, 0.000, 0.000).

***

# 4
Here is crystalline CaPu2Cd6 at its relaxed geometry from Alexandria. Energies are from PBE.

Its total energy is -4.184 eV per atom. The density of states at the Fermi level comes out at 2.07 states/eV per atom. The value obtained for the total magnetization is 11.6 μB per formula unit.

It has space group P6/mmm (No. 191), with a = 8.9134 Å, b = 8.9134 Å, c = 3.1996 Å, α = 90.00°, β = 90.00° and γ = 120.00°. The asymmetric unit holds Ca at (0.0000, 0.0000, 0.0000), Pu at (0.3333, 0.6667, 0.0000) and Cd at (0.0000, 0.3325, 0.5000).

***

# 5
Here is crystalline CaPuCd6 at its relaxed geometry from Alexandria. Energies are from PBE.

Its total energy is -2.878 eV per atom. The density of states at the Fermi level comes out at 1.81 states/eV per atom. The value obtained for the total magnetization is 6.4 μB per formula unit.

It has space group Amm2 (No. 38), with a = 5.113 Å, b = 6.738 Å, c = 11.605 Å, α = 90.00°, β = 90.00° and γ = 90.00°. The asymmetric unit holds Ca at (0.000, 0.000, 0.000), Pu at (0.500, 0.000, 0.329), Cd at (0.000, 0.000, 0.500), Cd at (0.000, 0.243, 0.747), Cd at (0.500, 0.000, 0.824) and Cd at (0.500, 0.236, 0.585).

***

# 6
Here is crystalline CaPuCd4 at its relaxed geometry from Alexandria. Energies are from PBE.

Its total energy is -3.468 eV per atom. The energy relative to the lowest polymorph listed for this composition is 64 meV/atom. The density of states at the Fermi level comes out at 2.30 states/eV per atom. The value obtained for the total magnetization is 6.0 μB per formula unit.

It has space group F-43m (No. 216), with a = 8.490 Å, b = 8.490 Å, c = 8.490 Å, α = 90.00°, β = 90.00° and γ = 90.00°. The asymmetric unit holds Ca at (0.000, 0.000, 0.000), Pu at (0.250, 0.250, 0.250) and Cd at (0.125, 0.125, 0.625).

***

# 7
Here is crystalline CaPuCd2 at its relaxed geometry from Alexandria. Energies are from PBE.

Its total energy is -4.680 eV per atom. The density of states at the Fermi level comes out at 2.76 states/eV per atom. The value obtained for the total magnetization is 5.7 μB per formula unit.

It has space group P4/mmm (No. 123), with a = 5.576 Å, b = 5.576 Å, c = 3.537 Å, α = 90.00°, β = 90.00° and γ = 90.00°. The asymmetric unit holds Ca at (0.000, 0.000, 0.000), Pu at (0.500, 0.500, 0.000) and Cd at (0.000, 0.500, 0.500).

***

# 8
Here is crystalline CaPuCd4 at its relaxed geometry from Alexandria. Energies are from PBE.

Its total energy is -3.531 eV per atom. The energy relative to the lowest polymorph listed for this composition is 0 meV/atom. The density of states at the Fermi level comes out at 1.83 states/eV per atom. The value obtained for the total magnetization is 5.7 μB per formula unit.

It has space group Pmmm (No. 47), with a = 3.330 Å, b = 5.077 Å, c = 8.860 Å, α = 90.00°, β = 90.00° and γ = 90.00°. The asymmetric unit holds Ca at (0.000, 0.000, 0.000), Pu at (0.000, 0.500, 0.500), Cd at (0.500, 0.000, 0.333) and Cd at (0.500, 0.500, 0.165).